VASP calculation (PBE) on a geometry-optimized CaTe2I structure.

Density: 5.1 Mg/m³
N(E_F): 4.28 states/eV/cell
Calculated volume: 549 Å³ per cell
Energy relative to the elements, uncorrected: -708 meV/atom

```
data_CaTe2I
_symmetry_space_group_name_H-M 'I -4 2 d'
_symmetry_Int_Tables_number 122
_symmetry_space_group_name_Hall 'I -4 2bw'
_cell_length_a 4.496
_cell_length_b 4.496
_cell_length_c 27.160
_cell_angle_alpha 90.00
_cell_angle_beta 90.00
_cell_angle_gamma 90.00
loop_
_atom_site_label
_atom_site_type_symbol
_atom_site_fract_x
_atom_site_fract_y
_atom_site_fract_z
Ca1 Ca 0.000 0.000 0.000
Te1 Te 0.238 0.250 0.125
I1 I 0.000 0.000 0.500
```

VASP calculation (PBE) on a geometry-optimized CaTeI structure.

Density: 4.2 Mg/m³
N(E_F): 1.35 states/eV/cell
Calculated volume: 233 Å³ per cell
Energy relative to the elements, uncorrected: -1081 meV/atom

```
data_CaTeI
_symmetry_space_group_name_H-M 'C 1 m 1'
_symmetry_Int_Tables_number 8
_symmetry_space_group_name_Hall 'C -2y'
_cell_length_a 7.269
_cell_length_b 5.438
_cell_length_c 6.722
_cell_angle_alpha 90.00
_cell_angle_beta 118.53
_cell_angle_gamma 90.00
loop_
_atom_site_label
_atom_site_type_symbol
_atom_site_fract_x
_atom_site_fract_y
_atom_site_fract_z
Ca1 Ca 0.000 0.000 0.000
Te1 Te 0.490 0.000 0.217
I1 I 0.491 0.000 0.708
```

VASP calculation (PBE) on a geometry-optimized CaTe2I structure.

Density: 5.5 Mg/m³
N(E_F): 32.17 states/eV/cell
Calculated volume: 514 Å³ per cell
Energy relative to the elements, uncorrected: -252 meV/atom

```
data_CaTe2I
_symmetry_space_group_name_H-M 'F m -3 m'
_symmetry_Int_Tables_number 225
_symmetry_space_group_name_Hall '-F 4 2 3'
_cell_length_a 8.010
_cell_length_b 8.010
_cell_length_c 8.010
_cell_angle_alpha 90.00
_cell_angle_beta 90.00
_cell_angle_gamma 90.00
loop_
_atom_site_label
_atom_site_type_symbol
_atom_site_fract_x
_atom_site_fract_y
_atom_site_fract_z
Ca1 Ca 0.000 0.000 0.000
Te1 Te 0.250 0.250 0.250
I1 I 0.000 0.000 0.500
```

VASP calculation (PBE) on a geometry-optimized CaTlTe2I structure.

Density: 4.8 Mg/m³
N(E_F): 6.43 states/eV/cell
Calculated volume: 218 Å³ per cell
Energy relative to the elements, uncorrected: -449 meV/atom

```
data_CaTlTe2I
_symmetry_space_group_name_H-M 'P 4/m m m'
_symmetry_Int_Tables_number 123
_symmetry_space_group_name_Hall '-P 4 2'
_cell_length_a 5.937
_cell_length_b 5.937
_cell_length_c 6.179
_cell_angle_alpha 90.00
_cell_angle_beta 90.00
_cell_angle_gamma 90.00
loop_
_atom_site_label
_atom_site_type_symbol
_atom_site_fract_x
_atom_site_fract_y
_atom_site_fract_z
Ca1 Ca 0.000 0.000 0.000
Tl1 Tl 0.500 0.500 0.500
Te1 Te 0.000 0.500 0.000
I1 I 0.000 0.000 0.500
```

- Which of these has the highest N(E_F)?
  number 3

- Among the records above, which one has the highest calculated volume?
  number 1

- Which of these has the highest density?
  number 3

Please write out number 3 again, unchanged.
VASP calculation (PBE) on a geometry-optimized CaTe2I structure.

Density: 5.5 Mg/m³
N(E_F): 32.17 states/eV/cell
Calculated volume: 514 Å³ per cell
Energy relative to the elements, uncorrected: -252 meV/atom

```
data_CaTe2I
_symmetry_space_group_name_H-M 'F m -3 m'
_symmetry_Int_Tables_number 225
_symmetry_space_group_name_Hall '-F 4 2 3'
_cell_length_a 8.010
_cell_length_b 8.010
_cell_length_c 8.010
_cell_angle_alpha 90.00
_cell_angle_beta 90.00
_cell_angle_gamma 90.00
loop_
_atom_site_label
_atom_site_type_symbol
_atom_site_fract_x
_atom_site_fract_y
_atom_site_fract_z
Ca1 Ca 0.000 0.000 0.000
Te1 Te 0.250 0.250 0.250
I1 I 0.000 0.000 0.500
```